[1]
ThFe2Ge4 | PBE | relaxed

Structure (CIF):
```
data_ThFe2Ge4
_space_group_name_H-M_alt 'P n m a'
_space_group_IT_number 62
_cell_length_a 17.222
_cell_length_b 4.175
_cell_length_c 6.469
_cell_angle_alpha 90.00
_cell_angle_beta 90.00
_cell_angle_gamma 90.00
loop_
_space_group_symop_operation_xyz
'x,y,z'
'-x,-y,-z'
'-x+1/2,-y,z+1/2'
'x+1/2,y,-z+1/2'
'x+1/2,-y+1/2,-z+1/2'
'-x+1/2,y+1/2,z+1/2'
'-x,y+1/2,-z'
'x,-y+1/2,z'
loop_
_atom_site_label
_atom_site_fract_x
_atom_site_fract_y
_atom_site_fract_z
_atom_site_occupancy
Th1 0.139 0.250 0.014 1
Fe1 0.034 0.750 0.747 1
Fe2 0.213 0.250 0.490 1
Ge1 0.027 0.750 0.149 1
Ge2 0.071 0.250 0.508 1
Ge3 0.181 0.750 0.699 1
Ge4 0.199 0.750 0.294 1
```

Computed properties:
energy relative to the elements	-6.78	kcal/mol of atoms
final energy	-44.87	eV per formula unit

=====

[2]
ThFe6Ge12 | PBE | relaxed

Structure (CIF):
```
data_ThFe6Ge12
_space_group_name_H-M_alt 'I m -3'
_space_group_IT_number 204
_space_group_name_Hall '-I 2 2 3'
_cell_length_a 8.625
_cell_length_b 8.625
_cell_length_c 8.625
_cell_angle_alpha 90.00
_cell_angle_beta 90.00
_cell_angle_gamma 90.00
loop_
_atom_site_label
_atom_site_fract_x
_atom_site_fract_y
_atom_site_fract_z
_atom_site_occupancy
Th1 0.000 0.000 0.000 1
Fe1 0.000 0.358 0.500 1
Ge1 0.000 0.180 0.296 1
```

Computed properties:
energy relative to the elements	3.52	kcal/mol of atoms
final energy	-110.70	eV per formula unit

=====

[3]
Th2FeGe | PBE | relaxed

Structure (CIF):
```
data_Th2FeGe
_space_group_name_H-M_alt 'P 1 21/m 1'
_space_group_IT_number 11
_cell_length_a 5.995
_cell_length_b 3.905
_cell_length_c 8.458
_cell_angle_alpha 90.00
_cell_angle_beta 109.91
_cell_angle_gamma 90.00
loop_
_space_group_symop_operation_xyz
'x,y,z'
'-x,-y,-z'
'-x,y+1/2,-z'
'x,-y+1/2,z'
loop_
_atom_site_label
_atom_site_fract_x
_atom_site_fract_y
_atom_site_fract_z
_atom_site_occupancy
Th1 0.188 0.250 0.401 1
Th2 0.270 0.750 0.050 1
Fe1 0.124 0.250 0.795 1
Ge1 0.350 0.750 0.707 1
```

Computed properties:
energy relative to the elements	-9.18	kcal/mol of atoms
final energy	-29.51	eV per formula unit
offset from the most stable computed form	0.0	kJ per mole of atoms

=====

[4]
TiFeGe3 | PBE | relaxed

Structure (CIF):
```
data_TiFeGe3
_space_group_name_H-M_alt 'P m -3 m'
_space_group_IT_number 221
_space_group_name_Hall '-P 4 2 3'
_cell_length_a 4.530
_cell_length_b 4.530
_cell_length_c 4.530
_cell_angle_alpha 90.00
_cell_angle_beta 90.00
_cell_angle_gamma 90.00
loop_
_atom_site_label
_atom_site_fract_x
_atom_site_fract_y
_atom_site_fract_z
_atom_site_occupancy
Ti1 0.000 0.000 0.000 1
Fe1 0.500 0.500 0.500 1
Ge1 0.000 0.500 0.500 1
```

Computed properties:
energy relative to the elements	11.03	kcal/mol of atoms
final energy	-27.82	eV per formula unit

=====

[5]
TiFe2Ge | PBE | relaxed

Structure (CIF):
```
data_TiFe2Ge
_space_group_name_H-M_alt 'P 4/m m m'
_space_group_IT_number 123
_space_group_name_Hall '-P 4 2'
_cell_length_a 4.032
_cell_length_b 4.032
_cell_length_c 2.997
_cell_angle_alpha 90.00
_cell_angle_beta 90.00
_cell_angle_gamma 90.00
loop_
_atom_site_label
_atom_site_fract_x
_atom_site_fract_y
_atom_site_fract_z
_atom_site_occupancy
Ti1 0.000 0.000 0.000 1
Fe1 0.000 0.500 0.500 1
Ge1 0.500 0.500 0.000 1
```

Computed properties:
energy relative to the elements	-9.06	kcal/mol of atoms
final energy	-31.01	eV per formula unit

=====

[6]
Ti3FeGe2 | PBE | relaxed

Structure (CIF):
```
data_Ti3FeGe2
_space_group_name_H-M_alt 'P n m a'
_space_group_IT_number 62
_cell_length_a 10.250
_cell_length_b 3.993
_cell_length_c 8.934
_cell_angle_alpha 90.00
_cell_angle_beta 90.00
_cell_angle_gamma 90.00
loop_
_space_group_symop_operation_xyz
'x,y,z'
'-x,-y,-z'
'-x+1/2,-y,z+1/2'
'x+1/2,y,-z+1/2'
'x+1/2,-y+1/2,-z+1/2'
'-x+1/2,y+1/2,z+1/2'
'-x,y+1/2,-z'
'x,-y+1/2,z'
loop_
_atom_site_label
_atom_site_fract_x
_atom_site_fract_y
_atom_site_fract_z
_atom_site_occupancy
Ti1 0.047 0.250 0.145 1
Ti2 0.161 0.750 0.603 1
Ti3 0.233 0.250 0.820 1
Fe1 0.121 0.250 0.398 1
Ge1 0.000 0.250 0.657 1
Ge2 0.170 0.750 0.016 1
```

Computed properties:
energy relative to the elements	-11.87	kcal/mol of atoms
final energy	-44.47	eV per formula unit

=====

[7]
TiFeGe2 | PBE | relaxed

Structure (CIF):
```
data_TiFeGe2
_space_group_name_H-M_alt 'I -4 2 d'
_space_group_IT_number 122
_space_group_name_Hall 'I -4 2bw'
_cell_length_a 3.716
_cell_length_b 3.716
_cell_length_c 18.137
_cell_angle_alpha 90.00
_cell_angle_beta 90.00
_cell_angle_gamma 90.00
loop_
_atom_site_label
_atom_site_fract_x
_atom_site_fract_y
_atom_site_fract_z
_atom_site_occupancy
Ti1 0.000 0.000 0.000 1
Fe1 0.000 0.000 0.500 1
Ge1 0.241 0.250 0.625 1
```

Computed properties:
energy relative to the elements	3.58	kcal/mol of atoms
final energy	-24.97	eV per formula unit

=====

[8]
TiFe14Ge | PBE | relaxed

Structure (CIF):
```
data_TiFe14Ge
_space_group_name_H-M_alt 'C m m m'
_space_group_IT_number 65
_space_group_name_Hall '-C 2 2'
_cell_length_a 5.707
_cell_length_b 8.101
_cell_length_c 8.140
_cell_angle_alpha 90.00
_cell_angle_beta 90.00
_cell_angle_gamma 90.00
loop_
_atom_site_label
_atom_site_fract_x
_atom_site_fract_y
_atom_site_fract_z
_atom_site_occupancy
Ti1 0.000 0.000 0.000 1
Fe1 0.000 0.000 0.500 1
Fe2 0.000 0.251 0.251 1
Fe3 0.000 0.500 0.500 1
Fe4 0.249 0.500 0.256 1
Fe5 0.250 0.250 0.000 1
Fe6 0.250 0.250 0.500 1
Ge1 0.000 0.500 0.000 1
```

Computed properties:
energy relative to the elements	-1.73	kcal/mol of atoms
final energy	-132.19	eV per formula unit

=====

[9]
Ti8FeGe2 | PBE | relaxed

Structure (CIF):
```
data_Ti8FeGe2
_space_group_name_H-M_alt 'C 1 2/m 1'
_space_group_IT_number 12
_cell_length_a 15.720
_cell_length_b 4.042
_cell_length_c 5.695
_cell_angle_alpha 90.00
_cell_angle_beta 98.45
_cell_angle_gamma 90.00
loop_
_space_group_symop_operation_xyz
'x,y,z'
'-x,-y,-z'
'-x,y,-z'
'x,-y,z'
'x+1/2,y+1/2,z'
'-x+1/2,-y+1/2,-z'
'-x+1/2,y+1/2,-z'
'x+1/2,-y+1/2,z'
loop_
_atom_site_label
_atom_site_fract_x
_atom_site_fract_y
_atom_site_fract_z
_atom_site_occupancy
Ti1 0.001 0.000 0.259 1
Ti2 0.094 0.500 0.024 1
Ti3 0.147 0.500 0.549 1
Ti4 0.221 0.000 0.844 1
Fe1 0.000 0.500 0.500 1
Ge1 0.179 0.000 0.281 1
```

Computed properties:
energy relative to the elements	-6.43	kcal/mol of atoms
final energy	-83.92	eV per formula unit

=====

[10]
Ti5FeGe5 | PBE | relaxed

Structure (CIF):
```
data_Ti5FeGe5
_space_group_name_H-M_alt 'C 1 2/m 1'
_space_group_IT_number 12
_cell_length_a 9.828
_cell_length_b 5.135
_cell_length_c 8.518
_cell_angle_alpha 90.00
_cell_angle_beta 116.71
_cell_angle_gamma 90.00
loop_
_space_group_symop_operation_xyz
'x,y,z'
'-x,-y,-z'
'-x,y,-z'
'x,-y,z'
'x+1/2,y+1/2,z'
'-x+1/2,-y+1/2,-z'
'-x+1/2,y+1/2,-z'
'x+1/2,-y+1/2,z'
loop_
_atom_site_label
_atom_site_fract_x
_atom_site_fract_y
_atom_site_fract_z
_atom_site_occupancy
Ti1 0.000 0.000 0.000 1
Ti2 0.169 0.500 0.846 1
Ti3 0.171 0.500 0.325 1
Fe1 0.000 0.000 0.500 1
Ge1 0.000 0.500 0.500 1
Ge2 0.154 0.000 0.823 1
Ge3 0.163 0.000 0.336 1
```

Computed properties:
energy relative to the elements	-3.19	kcal/mol of atoms
final energy	-72.54	eV per formula unit

=====

[11]
TiFe6Ge6 | PBE | relaxed

Structure (CIF):
```
data_TiFe6Ge6
_space_group_name_H-M_alt 'P 6/m m m'
_space_group_IT_number 191
_space_group_name_Hall '-P 6 2'
_cell_length_a 5.0161
_cell_length_b 5.0161
_cell_length_c 8.0097
_cell_angle_alpha 90.00
_cell_angle_beta 90.00
_cell_angle_gamma 120.00
loop_
_atom_site_label
_atom_site_fract_x
_atom_site_fract_y
_atom_site_fract_z
_atom_site_occupancy
Ti1 0.0000 0.0000 0.0000 1
Fe1 0.0000 0.5000 0.2485 1
Ge1 0.0000 0.0000 0.3373 1
Ge2 0.3333 0.6667 0.0000 1
Ge3 0.3333 0.6667 0.5000 1
```

Computed properties:
energy relative to the elements	-4.80	kcal/mol of atoms
final energy	-89.08	eV per formula unit

=====

[12]
TiFeGe2 | PBE | relaxed

Structure (CIF):
```
data_TiFeGe2
_space_group_name_H-M_alt 'P 1 21/c 1'
_space_group_IT_number 14
_cell_length_a 6.492
_cell_length_b 6.971
_cell_length_c 5.307
_cell_angle_alpha 90.00
_cell_angle_beta 91.54
_cell_angle_gamma 90.00
loop_
_space_group_symop_operation_xyz
'x,y,z'
'-x,-y,-z'
'-x,y+1/2,-z+1/2'
'x,-y+1/2,z+1/2'
loop_
_atom_site_label
_atom_site_fract_x
_atom_site_fract_y
_atom_site_fract_z
_atom_site_occupancy
Ti1 0.145 0.086 0.238 1
Fe1 0.343 0.519 0.287 1
Ge1 0.150 0.740 0.011 1
Ge2 0.454 0.233 0.504 1
```

Computed properties:
energy relative to the elements	-3.24	kcal/mol of atoms
final energy	-26.15	eV per formula unit